Mg2ScIn: relaxed, PBE-GGA.

Energy relative to the elements ... -98 meV/atom

Cell lengths 10.2425, 3.1999, 5.7738 Å; angles 90.00, 100.28, 90.00 degrees
Closest atoms and distances in Å follow each position.
Space group Cm (No. 8)
One atom of each set of equivalent atoms:
Mg (0.0000, 0.0000, 0.0000)  5 Mg 3.06-3.20, 3 In 3.11-3.28, 4 Sc 3.28-3.32
Mg (0.2469, 0.0000, 0.7694)  5 Mg 3.06-3.20, 3 Sc 3.17-3.22, 4 In 3.29-3.31
Sc (0.4914, 0.0000, 0.5011)  3 In 3.11, 7 Mg 3.17-3.32, 2 Sc 3.20
In (0.2421, 0.5000, 0.2653)  3 Sc 3.11, 7 Mg 3.11-3.31, 2 In 3.20

NaAc4Ir2: relaxed, PBE-GGA.

Energy relative to the elements ... -322 meV/atom
Energy above the lowest structure with this stoichiometry ... 0.172 eV/atom

Cell lengths 11.8062, 12.1242, 8.6786 Å; angles 90.00, 121.79, 90.00 degrees
Closest atoms and distances in Å follow each position.
Space group C2/c (No. 15)
One atom of each set of equivalent atoms:
Na (0.0000, 0.0034, 0.2500)  2 Ac 3.29
Ac (0.0103, 0.2562, 0.5320)  2 Ir 2.94-2.97
Ac (0.1982, 0.4868, 0.8884)  3 Ir 2.92-2.99
Ir (0.0000, 0.5000, 0.0000)  6 Ac 2.92-2.97
Ir (0.2500, 0.2500, 0.0000)  4 Ac 2.94-2.99

no.,spin magnetization (μB/f.u.),volume (Å³/atom)
1,0.00,23.27
2,0.00,37.71